Record 1
Compound: TlGeBAu2
Source: Alexandria via LeMat-Bulk
Functional: PBEsol
Structure: optimized geometry

## Properties
* ΔE_f: 340.1 meV per atom
* E_tot: -4.147 eV per atom
* crystal system: tetragonal

Unit cell a=4.4434 b=4.4434 c=4.5797 alpha=90.00 beta=90.00 gamma=90.00
Fractional coordinates of all 5 atoms:
Ge (0.0000, 0.0000, 0.5000)
B (0.0000, 0.0000, 0.0000)
Au (0.0000, 0.5000, 0.0000)
Au (0.5000, 0.0000, 0.0000)
Tl (0.5000, 0.5000, 0.5000)

=====

Record 2
Compound: Zr2BHAu
Source: Alexandria via LeMat-Bulk
Functional: PBEsol
Structure: optimized geometry

## Properties
* E_tot: -6.538 eV per atom
* crystal system: tetragonal

Unit cell a=2.9670 b=4.8155 c=4.8155 alpha=90.00 beta=90.00 gamma=90.00
Fractional coordinates of all 5 atoms:
H (0.0000, 0.0000, 0.0000)
Au (0.5000, 0.5000, 0.5000)
B (0.5000, 0.0000, 0.0000)
Zr (0.0000, 0.5000, 0.0000)
Zr (0.0000, 0.0000, 0.5000)